# NaTa2TiIr

NaTa2TiIr after structural relaxation (PBE, the Alexandria database).

a b c (Å): 4.851 4.956 4.851
angles (deg): 90.00 90.00 90.00
Fractional coordinates of all 5 atoms:
Na 0.000 0.500 0.000
Ir 0.000 0.000 0.000
Ti 0.500 0.500 0.500
Ta 0.000 0.000 0.500
Ta 0.500 0.000 0.000

Computed properties:
E_tot	-35.79	eV/f.u.
energy of formation	1.198	eV per atom

***

# La2YGa

La2YGa after structural relaxation (PBE, the Alexandria database).

a b c (Å): 5.048 4.790 4.790
angles (deg): 90.00 90.00 90.00
Fractional coordinates of all 4 atoms:
Y 0.500 0.000 0.000
Ga 0.500 0.500 0.500
La 0.000 0.000 0.500
La 0.000 0.500 0.000

Computed properties:
E_tot	-20.32	eV/f.u.
energy of formation	-0.243	eV per atom

***

# BaCa2Zr

BaCa2Zr after structural relaxation (PBE, the Alexandria database).

a b c (Å): 6.538 6.538 6.538
angles (deg): 131.46 131.46 71.09
Each line ends with the local moment (μB).
Fractional coordinates of all 4 atoms:
Ca 0.000 0.000 0.000  0.05
Ca 0.250 0.750 0.500  0.06
Ba 0.750 0.250 0.500  0.11
Zr 0.500 0.500 0.000  1.16

Computed properties:
E_tot	-12.61	eV/f.u.
energy above the most stable polymorph in this dataset	141	meV per atom
energy of formation	0.466	eV per atom

***

# PrGdY2

PrGdY2 after structural relaxation (PBE, the Alexandria database).

a b c (Å): 5.082 5.118 5.118
angles (deg): 90.00 90.00 90.00
Each line ends with the local moment (μB).
Fractional coordinates of all 4 atoms:
Pr 0.500 0.000 0.000  -0.05
Y 0.000 0.000 0.500  -0.02
Y 0.000 0.500 0.000  -0.02
Gd 0.500 0.500 0.500  7.17

Computed properties:
E_tot	-31.72	eV/f.u.
energy above the most stable polymorph in this dataset	0	meV per atom
energy of formation	0.017	eV per atom

***

Which value of E_tot does entry 2 give?
-20.32 eV/f.u.